Computed, not measured: a geometry-optimized ZnFe4 structure at the PBE level of DFT. Values from VASP.

Geometry as Quantum ESPRESSO input:
```
&SYSTEM
  ibrav = 0, nat = 10, ntyp = 2
/
ATOMIC_SPECIES
Zn 65.41 Zn.upf
Fe 55.84 Fe.upf
CELL_PARAMETERS angstrom
3.5649 0.0000 0.0000
0.0000 3.5649 0.0000
0.0000 0.0000 9.7999
ATOMIC_POSITIONS crystal
Zn 0.0000 0.0000 0.0000
Zn 0.5000 0.5000 0.5000
Fe 0.0000 0.0000 0.3956
Fe 0.0000 0.0000 0.6044
Fe 0.0000 0.5000 0.2500
Fe 0.0000 0.5000 0.7500
Fe 0.5000 0.0000 0.2500
Fe 0.5000 0.0000 0.7500
Fe 0.5000 0.5000 0.1044
Fe 0.5000 0.5000 0.8956
```

Calculated values
- crystal system = tetragonal
- excess energy over the best structure of this formula in the dataset (eV per atom) = 0.347
- space-group type = I4/mmm (139)
- magnetization (μB/cell) = 6.2
- energy (eV per atom) = -6.5950
- DOS(E_F) (states/eV per cell) = 8.82